Tb2Sm2Tm | Alexandria | PBE | relaxed; total energy = -4.4919 eV per atom; distance to the lowest polymorph of the same formula = 71 meV per atom; space group = Imma; ΔE_f = 142 meV/atom
1.0
-1.7991 2.8521 15.9448
1.7991 -2.8521 15.9448
1.7991 2.8521 -15.9448
Tb Sm Tm
4 4 2
direct
0.2709 0.0209 0.2500
0.3683 0.1183 0.2500
0.6317 0.8817 0.7500
0.7291 0.9791 0.7500
0.0593 0.8093 0.2500
0.4566 0.7066 0.7500
0.5434 0.2934 0.2500
0.9407 0.1907 0.7500
0.1734 0.4234 0.7500
0.8266 0.5766 0.2500